Model P:
Ca2Al2Pd: relaxed, GGA-PBE.

Results
* SG: P4/mbm, No. 127

abc: 8.686 8.686 3.338
angles: 90.00 90.00 90.00
Atoms (fractional coordinates):
Al  0.398  0.102  0.500
Al  0.898  0.398  0.500
Al  0.102  0.602  0.500
Al  0.602  0.898  0.500
Ca  0.192  0.308  0.000
Ca  0.692  0.192  0.000
Ca  0.308  0.808  0.000
Ca  0.808  0.692  0.000
Pd  0.500  0.500  0.000
Pd  0.000  0.000  0.000


Model Q:
Ca2Al2Pd: relaxed, GGA-PBE.

Results
* SG: I4/mmm, No. 139

abc: 3.721 3.721 9.350
angles: 78.52 78.52 90.00
Atoms (fractional coordinates):
Pd  0.000  0.000  0.000
Al  0.250  0.750  0.500
Al  0.750  0.250  0.500
Ca  0.595  0.595  0.810
Ca  0.405  0.405  0.190


model Q is preferred energetically. Next in line: 30.0 kJ/mol of atoms higher.


Model P:
CaAlZnPd: relaxed, GGA-PBE.

Results
* SG: R3m, No. 160

abc: 4.393 4.393 5.674
angles: 67.23 67.23 60.00
Atoms (fractional coordinates):
Ca  0.802  0.802  0.593
Zn  0.602  0.602  0.193
Al  0.324  0.324  0.027
Pd  0.997  0.997  0.010


Model Q:
CaAlZnPd: relaxed, GGA-PBE.

Results
* SG: F-43m, No. 216

abc: 4.709 4.709 4.709
angles: 60.00 60.00 60.00
Atoms (fractional coordinates):
Zn  0.000  0.000  0.000
Ca  0.750  0.750  0.750
Al  0.250  0.250  0.250
Pd  0.500  0.500  0.500


model P is preferred energetically. Next in line: 14.2 kJ/mol of atoms higher.


Model P:
CaPm2Al: relaxed, GGA-PBE.

Results
* SG: P4/mmm, No. 123

abc: 4.766 4.983 4.983
angles: 90.00 90.00 90.00
Atoms (fractional coordinates):
Pm  0.000  0.500  0.000
Pm  0.000  0.000  0.500
Ca  0.500  0.000  0.000
Al  0.500  0.500  0.500


Model Q:
CaPm2Al: relaxed, GGA-PBE.

Results
* SG: P4/mmm, No. 123

abc: 3.699 3.699 9.321
angles: 90.00 90.00 90.00
Atoms (fractional coordinates):
Al  0.500  0.500  0.000
Pm  0.000  0.000  0.195
Pm  0.000  0.000  0.805
Ca  0.500  0.500  0.500


Model R:
CaPm2Al: relaxed, GGA-PBE.

Results
* SG: Fm-3m, No. 225

abc: 5.490 5.490 5.490
angles: 60.00 60.00 60.00
Atoms (fractional coordinates):
Al  0.000  0.000  0.000
Pm  0.750  0.750  0.750
Pm  0.250  0.250  0.250
Ca  0.500  0.500  0.500


model Q is preferred energetically. Next in line: 3.0 kJ/mol of atoms higher.


Model P:
Ca2PmAl: relaxed, GGA-PBE.

Results
* SG: P4/mmm, No. 123

abc: 3.523 3.523 10.072
angles: 90.00 90.00 90.00
Atoms (fractional coordinates):
Al  0.500  0.500  0.000
Ca  0.000  0.000  0.206
Ca  0.000  0.000  0.794
Pm  0.500  0.500  0.500


Model Q:
Ca2PmAl: relaxed, GGA-PBE.

Results
* SG: R-3m, No. 166

abc: 3.554 3.554 12.171
angles: 81.60 81.60 60.00
Atoms (fractional coordinates):
Ca  0.902  0.902  0.295
Ca  0.098  0.098  0.705
Pm  0.000  0.000  0.000
Al  0.500  0.500  0.500


Model R:
Ca2PmAl: relaxed, GGA-PBE.

Results
* SG: P4/mmm, No. 123

abc: 5.250 4.828 4.828
angles: 90.00 90.00 90.00
Atoms (fractional coordinates):
Pm  0.500  0.500  0.500
Ca  0.000  0.000  0.500
Ca  0.000  0.500  0.000
Al  0.500  0.000  0.000


model R is preferred energetically. Next in line: 4.2 kJ/mol of atoms higher.


Model P:
Ca3PrAl8: relaxed, GGA-PBE.

Results
* SG: R3m, No. 160

abc: 5.662 5.662 9.874
angles: 73.34 73.34 60.00
Atoms (fractional coordinates):
Pr  0.875  0.875  0.376
Al  0.439  0.937  0.688
Al  0.937  0.438  0.187
Al  0.438  0.438  0.187
Al  0.937  0.937  0.688
Al  0.188  0.188  0.437
Al  0.688  0.688  0.937
Al  0.937  0.439  0.688
Al  0.438  0.937  0.187
Ca  0.000  0.000  0.999
Ca  0.375  0.375  0.875
Ca  0.500  0.500  0.500


Model Q:
Ca3PrAl8: relaxed, GGA-PBE.

Results
* SG: P3m1, No. 156

abc: 5.694 5.694 9.231
angles: 90.00 90.00 120.00
Atoms (fractional coordinates):
Al  0.992  0.496  0.750
Al  0.163  0.837  0.250
Al  0.333  0.667  0.501
Al  0.333  0.667  0.003
Al  0.675  0.837  0.250
Al  0.504  0.008  0.750
Al  0.163  0.325  0.250
Al  0.504  0.496  0.750
Ca  0.000  0.000  0.934
Ca  0.667  0.333  0.066
Ca  0.667  0.333  0.432
Pr  0.000  0.000  0.567


model P is preferred energetically. Next in line: 1.4 kJ/mol of atoms higher.


Model P:
CaPr2Al: relaxed, GGA-PBE.

Results
* SG: P4/mmm, No. 123

abc: 3.719 3.719 9.529
angles: 90.00 90.00 90.00
Atoms (fractional coordinates):
Ca  0.500  0.500  0.500
Pr  0.000  0.000  0.197
Pr  0.000  0.000  0.803
Al  0.500  0.500  0.000


Model Q:
CaPr2Al: relaxed, GGA-PBE.

Results
* SG: P4/mmm, No. 123

abc: 4.815 5.040 5.040
angles: 90.00 90.00 90.00
Atoms (fractional coordinates):
Al  0.500  0.500  0.500
Pr  0.000  0.500  0.000
Pr  0.000  0.000  0.500
Ca  0.500  0.000  0.000


Model R:
CaPr2Al: relaxed, GGA-PBE.

Results
* SG: Fm-3m, No. 225

abc: 5.555 5.555 5.555
angles: 60.00 60.00 60.00
Atoms (fractional coordinates):
Ca  0.500  0.500  0.500
Pr  0.250  0.250  0.250
Pr  0.750  0.750  0.750
Al  0.000  0.000  0.000


model P is preferred energetically. Next in line: 2.3 kJ/mol of atoms higher.